Computed, not measured: an optimized crystal structure of Ca2ZnAu at the PBE level of DFT.

Cell lengths 3.657, 3.657, 7.317 Å; angles 90.00, 90.00, 90.00 degrees
Atoms (fractional coordinates):
Zn 0.500 0.500 0.500
Ca 0.000 0.000 0.755
Ca 0.000 0.000 0.245
Au 0.500 0.500 0.000

Calculated total energy ... -2.653 eV per atom
N(E_F) ... 2.23 states/eV/f.u.